{"formula": "Nd2Dy8Tm", "functional": "PBE-GGA", "state": "relaxed", "lattice_angstrom": [[8.2474, -3.3297, 0.0000], [8.2474, 3.3297, 0.0000], [-1.2203, 0.0000, 6.5613]], "species": ["Nd", "Nd", "Dy", "Dy", "Dy", "Dy", "Dy", "Dy", "Dy", "Dy", "Tm"], "fractional_positions": [[0.1977, 0.1977, 0.2970], [0.8023, 0.8023, 0.7030], [0.1751, 0.6501, 0.0968], [0.2436, 0.2436, 0.8061], [0.3499, 0.8249, 0.9032], [0.4118, 0.4118, 0.5927], [0.5882, 0.5882, 0.4073], [0.6501, 0.1751, 0.0968], [0.7564, 0.7564, 0.1939], [0.8249, 0.3499, 0.9032], [0.0000, 0.0000, 0.5000]], "crystal_system": "monoclinic", "dos_at_fermi_per_ev_cell": 16.049, "m_tot_mub_per_atom": 0.00, "ef_ev_per_atom": 0.1592, "space_group": "C2/m (12)", "polymorph_energy_mev_per_atom": 138.9, "total_energy_ry_per_atom": -0.328}


{"formula": "ErSc3Cd6", "functional": "PBE-GGA", "state": "relaxed", "lattice_angstrom": [[8.7927, 0.0000, 0.0000], [0.0000, 5.0076, 0.0000], [-2.9277, 0.0000, 10.2621]], "species": ["Er", "Er", "Sc", "Sc", "Sc", "Sc", "Sc", "Sc", "Cd", "Cd", "Cd", "Cd", "Cd", "Cd", "Cd", "Cd", "Cd", "Cd", "Cd", "Cd"], "fractional_positions": [[0.0562, 0.2500, 0.3933], [0.9438, 0.7500, 0.6067], [0.2456, 0.2500, 0.0020], [0.3521, 0.7500, 0.8024], [0.4646, 0.2500, 0.6055], [0.5354, 0.7500, 0.3945], [0.6479, 0.2500, 0.1976], [0.7544, 0.7500, 0.9980], [0.0584, 0.7500, 0.9064], [0.1472, 0.7500, 0.2008], [0.1641, 0.2500, 0.7024], [0.2569, 0.7500, 0.5088], [0.3575, 0.2500, 0.2971], [0.4537, 0.7500, 0.0978], [0.5463, 0.2500, 0.9022], [0.6425, 0.7500, 0.7029], [0.7431, 0.2500, 0.4912], [0.8359, 0.7500, 0.2976], [0.8528, 0.2500, 0.7992], [0.9416, 0.2500, 0.0936]], "crystal_system": "monoclinic", "dos_at_fermi_per_ev_cell": 16.156, "m_tot_mub_per_atom": 0.00, "ef_ev_per_atom": -0.2549, "space_group": "P2_1/m (11)", "total_energy_ry_per_atom": -0.232}


{"formula": "La2Ga3Cu12Ir", "functional": "PBE-GGA", "state": "relaxed", "lattice_angstrom": [[3.0604, 1.7669, 9.3633], [-3.0604, 1.7669, 9.3633], [0.0000, -3.5338, 9.3633]], "species": ["La", "La", "Ga", "Ga", "Ga", "Cu", "Cu", "Cu", "Cu", "Cu", "Cu", "Cu", "Cu", "Cu", "Cu", "Cu", "Cu", "Ir"], "fractional_positions": [[0.1509, 0.1509, 0.1509], [0.8491, 0.8491, 0.8491], [0.0000, 0.5000, 0.5000], [0.5000, 0.0000, 0.5000], [0.5000, 0.5000, 0.0000], [0.0819, 0.0819, 0.6902], [0.0819, 0.6902, 0.0819], [0.1468, 0.5682, 0.5682], [0.3098, 0.9181, 0.9181], [0.4318, 0.4318, 0.8532], [0.4318, 0.8532, 0.4318], [0.5682, 0.1468, 0.5682], [0.5682, 0.5682, 0.1468], [0.6902, 0.0819, 0.0819], [0.8532, 0.4318, 0.4318], [0.9181, 0.3098, 0.9181], [0.9181, 0.9181, 0.3098], [0.5000, 0.5000, 0.5000]], "crystal_system": "trigonal", "dos_at_fermi_per_ev_cell": 9.019, "m_tot_mub_per_atom": 0.00, "ef_ev_per_atom": 0.0550, "space_group": "R-3m (166)", "total_energy_ry_per_atom": -0.310}


{"formula": "NaEuAgBi", "functional": "PBE-GGA", "state": "relaxed", "lattice_angstrom": [[0.0000, 3.8250, 3.8250], [3.8250, 0.0000, 3.8250], [3.8250, 3.8250, 0.0000]], "species": ["Na", "Eu", "Ag", "Bi"], "fractional_positions": [[0.0000, 0.0000, 0.0000], [0.5000, 0.5000, 0.5000], [0.7500, 0.7500, 0.7500], [0.2500, 0.2500, 0.2500]], "crystal_system": "cubic", "dos_at_fermi_per_ev_cell": 12.177, "m_tot_mub_per_atom": 1.74, "ef_ev_per_atom": -0.4089, "space_group": "F-43m (216)", "total_energy_ry_per_atom": -0.367}


Number 4 is which compound? NaEuAgBi